PaCrF: optimized geometry, PBE with a Hubbard U.

Cell and atoms, written as POSCAR:
```
PaCrF
1.0
14.933 0.000 0.000
0.000 3.120 0.000
0.000 0.000 5.407
Pa Cr F
4 4 4
direct
0.188 0.000 0.000 Pa
0.188 0.500 0.500 Pa
0.812 0.000 0.000 Pa
0.812 0.500 0.500 Pa
0.000 0.000 0.334 Cr
0.000 0.500 0.834 Cr
0.500 0.000 0.293 Cr
0.500 0.500 0.793 Cr
0.303 0.000 0.667 F
0.303 0.500 0.167 F
0.697 0.000 0.667 F
0.697 0.500 0.167 F
```

Summary:
energy = -84.86 eV for the cell shown
magnetization = 1.583 μB/atom
symmetry = Amm2, No. 38